A relaxed BaH3Se crystal, computed with PBE-GGA.

Summary:
SG: Pm-3m, No. 221
Energy relative to the lowest polymorph listed for this composition, meV per atom: 489.2

Lattice parameters (Å, degrees): 4.550 4.550 4.550 90.00 90.00 90.00
Positions (direct):
H1 0.000 0.500 0.000
Se1 0.500 0.500 0.500
Ba1 0.000 0.000 0.000
H2 0.000 0.000 0.500
H3 0.500 0.000 0.000